# CaPrY2As4 (GGA-PBE, relaxed)
# E_form = -10.95 eV per formula unit
data_CaPrY2As4
_chemical_formula_sum 'Ca1 Pr1 Y2 As4'
_space_group_name_H-M_alt 'P 1'
_space_group_IT_number 1
_cell_length_a 4.1974
_cell_length_b 7.3166
_cell_length_c 7.2578
_cell_angle_alpha 70.70
_cell_angle_beta 90.00
_cell_angle_gamma 90.00
loop_
_space_group_symop_operation_xyz
'x,y,z'
loop_
_atom_site_label
_atom_site_type_symbol
_atom_site_fract_x
_atom_site_fract_y
_atom_site_fract_z
Y1 Y 0.0000 0.0000 0.0000
Y2 Y 0.5000 0.0000 0.5000
As1 As 0.0000 0.7609 0.7456
As2 As 0.5000 0.2386 0.7538
As3 As 0.0000 0.2391 0.2543
As4 As 0.5000 0.7614 0.2462
Pr1 Pr 0.5000 0.5000 0.0000
Ca1 Ca 0.0000 0.5000 0.5000

---

# OsSF3 (GGA-PBE, relaxed)
# ΔE to the lowest computed polymorph = 0 meV/atom
data_OsSF3
_chemical_formula_sum 'Os1 S1 F3'
_space_group_name_H-M_alt 'P 1'
_space_group_IT_number 1
_cell_length_a 4.1088
_cell_length_b 4.1088
_cell_length_c 4.1088
_cell_angle_alpha 90.00
_cell_angle_beta 90.00
_cell_angle_gamma 90.00
loop_
_space_group_symop_operation_xyz
'x,y,z'
loop_
_atom_site_label
_atom_site_type_symbol
_atom_site_fract_x
_atom_site_fract_y
_atom_site_fract_z
F1 F 0.0000 0.0000 0.5000
F2 F 0.5000 0.0000 0.0000
F3 F 0.0000 0.5000 0.0000
S1 S 0.5000 0.5000 0.5000
Os1 Os 0.0000 0.0000 0.0000

---

| no. | total magnetization (μB/cell) | electronic total energy (eV/atom) |
| --- | --- | --- |
| 1 | 0.0 | -6.157 |
| 2 | 0.0 | -4.249 |